[1]
First-principles (PBE) data for crystalline Pu2MnCl8 at its relaxed geometry, as listed in Alexandria via LeMat-Bulk.

a b c (Å): 10.2915 10.2915 8.3011
angles (deg): 100.00 100.00 21.72
Last column: nearest neighbours and their distance in Å.
Atoms (fractional coordinates):
Pu1 0.1534 0.1534 0.3346  8 Cl 2.70-2.97
Pu2 0.8466 0.8466 0.6654  8 Cl 2.70-2.97
Mn1 0.5000 0.5000 0.0000  6 Cl 2.53-2.57
Cl1 0.0069 0.0069 0.2046  2 Mn 2.57
Cl2 0.2423 0.2423 0.6603  3 Pu 2.86-2.97, 1 Cl 3.14
Cl3 0.3731 0.3731 0.9290  1 Mn 2.53
Cl4 0.3964 0.3964 0.4945  2 Pu 2.70
Cl5 0.6036 0.6036 0.5055  2 Pu 2.70
Cl6 0.6269 0.6269 0.0710  1 Mn 2.53
Cl7 0.7577 0.7577 0.3397  3 Pu 2.86-2.97, 1 Cl 3.14
Cl8 0.9931 0.9931 0.7954  2 Mn 2.57

Values from the calculation:
space group	No. 12
DOS(E_F)	2.028	states/eV per atom

---

[2]
First-principles (PBE) data for crystalline PuMnCl2 at its relaxed geometry, as listed in Alexandria via LeMat-Bulk.

a b c (Å): 9.1186 9.1186 9.1186
angles (deg): 22.26 22.26 22.26
Last column: nearest neighbours and their distance in Å.
Atoms (fractional coordinates):
Pu1 0.0000 0.0000 0.0000  2 Cl 2.92
Mn1 0.5000 0.5000 0.5000  6 Cl 2.54
Cl1 0.1095 0.1095 0.1095  3 Mn 2.54
Cl2 0.8905 0.8905 0.8905  3 Mn 2.54

Values from the calculation:
space group	No. 166
DOS(E_F)	2.617	states/eV per atom

---

[3]
First-principles (PBE) data for crystalline PuMnCl5 at its relaxed geometry, as listed in Alexandria via LeMat-Bulk.

a b c (Å): 7.3101 7.3101 10.2119
angles (deg): 111.05 111.05 86.50
Last column: nearest neighbours and their distance in Å.
Atoms (fractional coordinates):
Pu1 0.0000 0.5000 0.0000  6 Cl 2.71-2.73
Pu2 0.5000 0.0000 0.5000  6 Cl 2.71-2.73
Mn1 0.1353 0.8647 0.7500  4 Cl 2.36-2.37
Mn2 0.8647 0.1353 0.2500  4 Cl 2.36-2.37
Cl1 0.1569 0.1814 0.4601  1 Mn 2.36
Cl2 0.1651 0.5945 0.8309  1 Mn 2.37
Cl3 0.1814 0.1569 0.9601  1 Mn 2.36
Cl4 0.3171 0.6829 0.2500  2 Pu 2.71
Cl5 0.4055 0.8349 0.6691  1 Mn 2.37
Cl6 0.5945 0.1651 0.3309  1 Mn 2.37
Cl7 0.6829 0.3171 0.7500  2 Pu 2.71
Cl8 0.8186 0.8431 0.0399  1 Mn 2.36
Cl9 0.8349 0.4055 0.1691  1 Mn 2.37
Cl10 0.8431 0.8186 0.5399  1 Mn 2.36

Values from the calculation:
space group	No. 15
DOS(E_F)	1.415	states/eV per atom

---

[4]
First-principles (PBE) data for crystalline Rb3PuMn2Cl9 at its relaxed geometry, as listed in Alexandria via LeMat-Bulk.

a b c (Å): 7.3890 7.3890 9.1620
angles (deg): 90.00 90.00 120.00
Last column: nearest neighbours and their distance in Å.
Atoms (fractional coordinates):
Rb1 0.0000 0.0000 0.0000  12 Cl 3.69
Rb2 0.3333 0.6667 0.6926  9 Cl 3.53-3.70
Rb3 0.6667 0.3333 0.3074  9 Cl 3.53-3.70
Pu1 0.0000 0.0000 0.5000  6 Cl 2.76
Mn1 0.3333 0.6667 0.1564  6 Cl 2.54-2.57
Mn2 0.6667 0.3333 0.8436  6 Cl 2.54-2.57
Cl1 0.0000 0.5000 0.0000  2 Mn 2.57
Cl2 0.1736 0.3471 0.3214  1 Mn 2.54, 1 Pu 2.76
Cl3 0.1736 0.8264 0.3214  1 Mn 2.54, 1 Pu 2.76
Cl4 0.3471 0.1736 0.6786  1 Mn 2.54, 1 Pu 2.76
Cl5 0.5000 0.0000 0.0000  2 Mn 2.57
Cl6 0.5000 0.5000 0.0000  2 Mn 2.57
Cl7 0.6529 0.8264 0.3214  1 Mn 2.54, 1 Pu 2.76
Cl8 0.8264 0.1736 0.6786  1 Mn 2.54, 1 Pu 2.76
Cl9 0.8264 0.6529 0.6786  1 Mn 2.54, 1 Pu 2.76

Values from the calculation:
space group	No. 164
DOS(E_F)	1.396	states/eV per atom

---

[5]
First-principles (PBE) data for crystalline RbPu2MnCl8 at its relaxed geometry, as listed in Alexandria via LeMat-Bulk.

a b c (Å): 6.4793 6.6379 8.7032
angles (deg): 89.83 89.75 87.07
Last column: nearest neighbours and their distance in Å.
Atoms (fractional coordinates):
Rb1 0.0000 0.0000 0.0000  6 Cl 3.16-3.18
Pu1 0.4997 0.5001 0.2608  6 Cl 2.80-2.85
Pu2 0.5003 0.4999 0.7392  6 Cl 2.80-2.85
Mn1 0.0000 0.0000 0.5000  4 Cl 2.48
Cl1 0.2222 0.8329 0.6995  1 Mn 2.48
Cl2 0.2246 0.8354 0.2999  1 Mn 2.48
Cl3 0.2682 0.3243 0.5010  1 Mn 2.83, 2 Pu 2.85
Cl4 0.2796 0.3794 0.0009  2 Pu 2.82
Cl5 0.7204 0.6206 0.9991  2 Pu 2.82
Cl6 0.7318 0.6757 0.4990  1 Mn 2.83, 2 Pu 2.85
Cl7 0.7754 0.1646 0.7001  1 Mn 2.48
Cl8 0.7778 0.1671 0.3005  1 Mn 2.48

Values from the calculation:
space group	No. 2
DOS(E_F)	2.431	states/eV per atom

---

[6]
First-principles (PBE) data for crystalline Rb2PuMnCl6 at its relaxed geometry, as listed in Alexandria via LeMat-Bulk.

a b c (Å): 7.5445 10.6826 7.5622
angles (deg): 90.00 90.00 90.00
Last column: nearest neighbours and their distance in Å.
Atoms (fractional coordinates):
Rb1 0.2500 0.0001 0.2503  12 Cl 3.77-3.79
Rb2 0.2500 0.4999 0.2503  12 Cl 3.77-3.79
Rb3 0.7500 0.9999 0.7497  12 Cl 3.77-3.79
Rb4 0.7500 0.5001 0.7497  12 Cl 3.77-3.79
Pu1 0.2500 0.2500 0.7505  6 Cl 2.79
Pu2 0.7500 0.7500 0.2495  6 Cl 2.79
Mn1 0.2500 0.7500 0.7496  6 Cl 2.55
Mn2 0.7500 0.2500 0.2504  6 Cl 2.55
Cl1 0.0112 0.7500 0.5106  1 Mn 2.55, 1 Pu 2.79
Cl2 0.0109 0.7500 0.9883  1 Mn 2.55, 1 Pu 2.79
Cl3 0.2500 0.5109 0.7497  1 Mn 2.55, 1 Pu 2.79
Cl4 0.2500 0.9891 0.7497  1 Mn 2.55, 1 Pu 2.79
Cl5 0.4888 0.7500 0.5106  1 Mn 2.55, 1 Pu 2.79
Cl6 0.4891 0.7500 0.9883  1 Mn 2.55, 1 Pu 2.79
Cl7 0.5109 0.2500 0.0117  1 Mn 2.55, 1 Pu 2.79
Cl8 0.5112 0.2500 0.4894  1 Mn 2.55, 1 Pu 2.79
Cl9 0.7500 0.0109 0.2503  1 Mn 2.55, 1 Pu 2.79
Cl10 0.7500 0.4891 0.2503  1 Mn 2.55, 1 Pu 2.79
Cl11 0.9891 0.2500 0.0117  1 Mn 2.55, 1 Pu 2.79
Cl12 0.9888 0.2500 0.4894  1 Mn 2.55, 1 Pu 2.79

Values from the calculation:
space group	No. 59
DOS(E_F)	2.167	states/eV per atom

---

ΔE_f (raw) across the listed records, respectively: -160 -51 -147 -153 -162 -157 kJ/mol of atoms.
Density across the listed records, respectively: 4.29 6.43 3.34 3.56 4.05 3.72 g/cm³.